BeNiBO4: relaxed, PBE+U.

Properties
* magnetic moment: 0.300 μB/atom
* electronic total energy: -6.50 eV/atom

Structure (CIF):
```
data_BeNiBO4
_chemical_formula_sum 'Be4 Ni4 B4 O16'
_space_group_name_H-M_alt 'C m c m'
_space_group_IT_number 63
_space_group_name_Hall '-C 2c 2'
_cell_length_a 5.220
_cell_length_b 7.995
_cell_length_c 5.364
_cell_angle_alpha 90.00
_cell_angle_beta 90.00
_cell_angle_gamma 90.00
loop_
_atom_site_label
_atom_site_fract_x
_atom_site_fract_y
_atom_site_fract_z
Be1 0.000 0.140 0.250
Ni1 0.000 0.500 0.000
B1 0.000 0.142 0.750
O1 0.000 0.239 0.519
O2 0.218 0.013 0.750
```